No. 1
PBE Dy8Ag2Au, optimized geometry; crystal system = monoclinic; magnetic moment = 0.000 μB/atom; E_tot = -4.3975 eV per atom; density of states at the Fermi level = 0.95 states/eV/atom
1.0
-3.4346 -1.7667 3.4476
4.9474 -0.2536 4.7989
-1.9010 8.9906 -1.1739
Dy Ag Au
8 2 1
direct
0.5918 0.4535 0.1837
0.6655 0.9771 0.3310
0.4082 0.5465 0.8163
0.0272 0.7769 0.0543
0.2012 0.3217 0.4024
0.7988 0.6783 0.5976
0.9728 0.2231 0.9457
0.3345 0.0229 0.6690
0.8166 0.2747 0.6332
0.1834 0.7253 0.3668
0.5000 0.0000 0.0000



No. 2
PBE DyAg2Au2, optimized geometry; crystal system = monoclinic; magnetic moment = 0.000 μB/atom; E_tot = -3.6107 eV per atom; E above lowest polymorph = 142 meV per atom; density of states at the Fermi level = 0.57 states/eV/atom
1.0
4.5592 0.1677 0.0026
-1.7982 4.1930 0.0027
0.0029 0.0047 5.5943
Dy Au Ag
1 2 2
direct
0.0000 0.0000 0.0000
0.4995 0.4995 0.2478
0.5005 0.5005 0.7522
0.8221 0.1779 0.5000
0.1779 0.8221 0.5000



No. 3
PBE Dy2AgAu6, optimized geometry; crystal system = monoclinic; magnetic moment = 0.000 μB/atom; E_tot = -4.0723 eV per atom; density of states at the Fermi level = 0.37 states/eV/atom
1.0
-4.2181 1.6908 2.5432
-5.2778 -4.2763 -5.9853
2.8584 -4.2284 7.4777
Au Ag Dy
12 2 4
direct
0.9989 0.8333 0.9939
0.0011 0.1667 0.0061
0.5011 0.0061 0.1667
0.4989 0.9939 0.8333
0.4989 0.3333 0.4941
0.2391 0.5891 0.0891
0.9989 0.4941 0.3333
0.7609 0.4109 0.9109
0.7391 0.0891 0.5891
0.5011 0.6667 0.5059
0.0011 0.5059 0.6667
0.2609 0.9109 0.4109
0.2500 0.2498 0.7502
0.7500 0.7502 0.2498
0.5000 0.3411 0.1590
0.0000 0.1590 0.3411
0.5000 0.6589 0.8410
0.0000 0.8410 0.6589



No. 4
PBE Dy11Ag9Au4, optimized geometry; crystal system = orthorhombic; magnetic moment = 0.000 μB/atom; E_tot = -4.2002 eV per atom; density of states at the Fermi level = 0.61 states/eV/atom
1.0
-2.1080 2.6710 1.3066
-3.7605 2.9511 -12.0998
-7.6706 -8.8358 5.6874
Dy Au Ag
11 4 9
direct
0.0000 0.7253 0.7253
0.0000 0.1676 0.8324
0.0000 0.0000 0.0000
0.0000 0.5876 0.9290
0.0000 0.4124 0.0710
0.0000 0.0710 0.4124
0.0000 0.3550 0.6450
0.0000 0.6450 0.3550
0.0000 0.9290 0.5876
0.0000 0.2747 0.2747
0.0000 0.8324 0.1676
0.5000 0.5512 0.7432
0.5000 0.4488 0.2568
0.5000 0.2568 0.4488
0.5000 0.7432 0.5512
0.5000 0.0522 0.2073
0.5000 0.8523 0.3690
0.5000 0.9478 0.7927
0.5000 0.2073 0.0522
0.5000 0.5000 0.5000
0.5000 0.7927 0.9478
0.5000 0.1477 0.6310
0.5000 0.6310 0.1477
0.5000 0.3690 0.8523



No. 5
PBE Dy3Ag2Au4, optimized geometry; crystal system = monoclinic; magnetic moment = 0.000 μB/atom; E_tot = -4.2212 eV per atom; density of states at the Fermi level = 0.56 states/eV/atom
1.0
5.2418 -0.0399 0.8292
1.0326 8.3581 2.6287
-0.0121 -0.5685 8.8040
Au Dy Ag
8 6 4
direct
0.8220 0.2633 0.5049
0.5113 0.0689 0.8042
0.4887 0.9311 0.1958
0.9887 0.1958 0.9311
0.0113 0.8042 0.0689
0.1780 0.7367 0.4951
0.3220 0.5049 0.2633
0.6780 0.4951 0.7367
0.7500 0.6213 0.3787
0.0610 0.9655 0.7162
0.9390 0.0345 0.2838
0.2500 0.3787 0.6213
0.4390 0.2838 0.0345
0.5610 0.7162 0.9655
0.6242 0.8487 0.5957
0.3758 0.1513 0.4043
0.1242 0.5957 0.8487
0.8758 0.4043 0.1513



No. 6
PBE DyAg2Au, optimized geometry; crystal system = monoclinic; magnetic moment = 0.000 μB/atom; E_tot = -3.7859 eV per atom; E above lowest polymorph = 0 meV per atom; density of states at the Fermi level = 0.58 states/eV/atom
1.0
0.1906 2.6095 3.3009
-5.1325 -0.8914 -1.6920
-0.5572 -6.2873 5.0026
Dy Ag Au
2 4 2
direct
0.0611 0.1233 0.2500
0.9389 0.8767 0.7500
0.3692 0.7390 0.0557
0.6308 0.2610 0.9443
0.3692 0.7390 0.4443
0.6308 0.2610 0.5557
0.7662 0.5337 0.2500
0.2338 0.4663 0.7500



No. 7
PBE Dy12AgAu6, optimized geometry; crystal system = trigonal; magnetic moment = 0.000 μB/atom; E_tot = -4.4828 eV per atom; density of states at the Fermi level = 1.16 states/eV/atom
1.0
-1.5228 -6.1577 5.6061
6.8935 3.5020 3.4467
-5.8732 5.6366 2.3234
Dy Au Ag
12 6 1
direct
0.9326 0.0618 0.6745
0.5768 0.1780 0.4264
0.0674 0.9382 0.3255
0.4264 0.5768 0.1780
0.9382 0.3255 0.0674
0.4232 0.8220 0.5736
0.8220 0.5736 0.4232
0.6745 0.9326 0.0618
0.5736 0.4232 0.8220
0.0618 0.6745 0.9326
0.3255 0.0674 0.9382
0.1780 0.4264 0.5768
0.1367 0.6147 0.3051
0.3853 0.6949 0.8633
0.3051 0.1367 0.6147
0.6147 0.3051 0.1367
0.8633 0.3853 0.6949
0.6949 0.8633 0.3853
0.0000 0.0000 0.0000



No. 8
PBE Dy5AgAu4, optimized geometry; crystal system = tetragonal; magnetic moment = 0.000 μB/atom; E_tot = -4.6564 eV per atom; density of states at the Fermi level = 0.40 states/eV/atom
1.0
-0.8022 -0.2096 3.4814
1.3490 -3.3129 0.1113
16.4256 6.8298 4.1960
Au Dy Ag
4 5 1
direct
0.0000 0.0000 0.5998
0.0000 0.0000 0.8005
0.0000 0.0000 0.4002
0.0000 0.0000 0.1995
0.5000 0.5000 0.1030
0.5000 0.5000 0.8970
0.5000 0.5000 0.6989
0.5000 0.5000 0.3011
0.5000 0.5000 0.5000
0.0000 0.0000 0.0000



No. 9
PBE Dy6Ag2Au, optimized geometry; crystal system = monoclinic; magnetic moment = 0.000 μB/atom; E_tot = -4.1833 eV per atom; density of states at the Fermi level = 1.32 states/eV/atom
1.0
-0.5740 -1.9056 -4.5939
5.5959 -4.2114 1.0477
-7.0248 -2.2532 4.5310
Ag Dy Au
2 6 1
direct
0.6664 0.6666 0.3333
0.3336 0.3334 0.6667
0.1649 0.4127 0.3300
0.5000 0.2452 0.0000
0.5000 0.7548 0.0000
0.8351 0.5873 0.6700
0.1649 0.9174 0.3300
0.8351 0.0826 0.6700
0.0000 0.0000 0.0000



No. 10
PBE DyAg8Au2, optimized geometry; crystal system = monoclinic; magnetic moment = 0.000 μB/atom; E_tot = -2.9995 eV per atom; density of states at the Fermi level = 0.34 states/eV/atom
1.0
-1.1652 3.4903 3.2238
-0.7070 -4.0484 6.3545
5.8976 -0.3428 4.7298
Ag Au Dy
8 2 1
direct
0.1300 0.7614 0.7614
0.7696 0.6120 0.2518
0.3028 0.3607 0.3607
0.2304 0.3880 0.7482
0.6972 0.6393 0.6393
0.2304 0.7482 0.3880
0.8700 0.2386 0.2386
0.7696 0.2518 0.6120
0.5672 0.8674 0.8674
0.4328 0.1326 0.1326
0.0000 0.0000 0.0000



No. 11
PBE Dy2AgAu2, optimized geometry; crystal system = tetragonal; magnetic moment = 0.000 μB/atom; E_tot = -4.4179 eV per atom; E above lowest polymorph = 0 meV per atom; density of states at the Fermi level = 0.68 states/eV/atom
1.0
-2.9342 -2.2239 0.4914
1.4649 -3.4677 -6.9462
4.6176 -5.2934 3.6164
Ag Au Dy
2 4 4
direct
0.0000 0.5000 0.5000
0.0000 0.0000 0.0000
0.0000 0.8693 0.6307
0.0000 0.1307 0.3693
0.0000 0.6307 0.1307
0.0000 0.3693 0.8693
0.5000 0.6692 0.8308
0.5000 0.8308 0.3308
0.5000 0.1692 0.6692
0.5000 0.3308 0.1692



No. 12
PBE Dy2AgAu, optimized geometry; crystal system = tetragonal; magnetic moment = 0.000 μB/atom; E_tot = -4.4303 eV per atom; density of states at the Fermi level = 0.55 states/eV/atom
1.0
-0.4713 -2.0657 2.8984
-0.0421 -4.1704 -2.9791
5.0808 -0.4251 0.5233
Dy Ag Au
2 1 1
direct
0.0000 0.0000 0.5000
0.0000 0.5000 0.0000
0.5000 0.0000 0.0000
0.5000 0.5000 0.5000



No. 13
PBE DyAg2Au, optimized geometry; crystal system = tetragonal; magnetic moment = 0.000 μB/atom; E_tot = -3.7850 eV per atom; E above lowest polymorph = 1 meV per atom; density of states at the Fermi level = 0.47 states/eV/atom
1.0
8.7182 0.0000 0.0000
0.0000 6.1034 0.0000
0.0000 0.0000 6.1055
Dy Au Ag
4 4 8
direct
0.9374 0.7500 0.5001
0.9374 0.2500 0.9999
0.4374 0.7500 0.0001
0.4374 0.2500 0.4999
0.9375 0.2500 0.4999
0.9375 0.7500 0.0001
0.4375 0.2500 0.9999
0.4375 0.7500 0.5001
0.1875 0.5000 0.7500
0.1875 0.0000 0.7500
0.6874 0.4999 0.7499
0.6875 0.5000 0.2500
0.6875 0.0000 0.2500
0.6874 0.9999 0.7501
0.1874 0.5001 0.2501
0.1874 0.0001 0.2499



No. 14
PBE DyAg3Au7, optimized geometry; crystal system = monoclinic; magnetic moment = 0.000 μB/atom; E_tot = -3.3566 eV per atom; density of states at the Fermi level = 0.31 states/eV/atom
1.0
-3.1337 4.7762 0.6237
1.7363 -4.6837 5.8214
7.6161 0.0533 -0.9119
Ag Au Dy
3 7 1
direct
0.5000 0.0000 0.0000
0.0000 0.2323 0.7677
0.0000 0.7677 0.2323
0.3244 0.1846 0.1846
0.6756 0.8154 0.8154
0.3279 0.0713 0.5872
0.6721 0.4128 0.9287
0.0000 0.5000 0.5000
0.3279 0.5872 0.0713
0.6721 0.9287 0.4128
0.5000 0.5000 0.5000



No. 15
PBE Dy3AgAu, optimized geometry; crystal system = monoclinic; magnetic moment = 0.000 μB/atom; E_tot = -4.3211 eV per atom; E above lowest polymorph = 126 meV per atom; density of states at the Fermi level = 1.07 states/eV/atom
1.0
7.0323 -0.5091 -0.4144
-0.5926 9.1284 0.7185
-0.5926 2.5568 8.7924
Au Dy Ag
4 12 4
direct
0.7500 0.0230 0.9770
0.2500 0.6469 0.3531
0.2500 0.9770 0.0230
0.7500 0.3531 0.6469
0.9406 0.3977 0.3621
0.4406 0.3621 0.3977
0.5260 0.0362 0.2896
0.0170 0.1149 0.7318
0.0594 0.6023 0.6379
0.4740 0.9638 0.7104
0.4830 0.2682 0.8851
0.9830 0.8851 0.2682
0.0260 0.2896 0.0362
0.5594 0.6379 0.6023
0.9740 0.7104 0.9638
0.5170 0.7318 0.1149
0.3375 0.5672 0.9025
0.6625 0.4328 0.0975
0.8375 0.9025 0.5672
0.1625 0.0975 0.4328



No. 16
PBE Dy7Ag2Au2, optimized geometry; crystal system = orthorhombic; magnetic moment = 0.000 μB/atom; E_tot = -4.2427 eV per atom; density of states at the Fermi level = 1.05 states/eV/atom
1.0
6.6252 -0.0036 -0.9001
0.0031 7.4618 0.0035
-1.3111 -0.0013 6.5563
Dy Au Ag
7 2 2
direct
0.4999 0.7253 0.0001
0.0001 0.2747 0.4999
0.9999 0.7253 0.5001
0.4999 0.7388 0.5001
0.5001 0.2612 0.4999
0.5001 0.2747 0.9999
0.0000 0.0000 0.0000
0.2901 0.0000 0.7099
0.7099 0.0000 0.2901
0.1799 0.5000 0.1799
0.8201 0.5000 0.8201



No. 17
PBE DyAgAu, optimized geometry; crystal system = hexagonal; magnetic moment = 0.000 μB/atom; E_tot = -4.1048 eV per atom; E above lowest polymorph = 87 meV per atom; density of states at the Fermi level = 0.57 states/eV/atom
1.0
3.4242 0.0000 0.0000
0.0000 4.7257 0.0000
0.0000 -2.3628 4.0925
Dy Au Ag
1 1 1
direct
0.6666 0.3333 0.6667
0.1673 0.6667 0.3333
0.1661 0.0000 0.0000



No. 18
PBE Dy3Ag3Au2, optimized geometry; crystal system = hexagonal; magnetic moment = 0.000 μB/atom; E_tot = -4.1596 eV per atom; density of states at the Fermi level = 0.47 states/eV/atom
1.0
3.7158 0.0000 0.0000
0.0000 6.5412 -3.7766
0.0000 0.0000 7.5532
Ag Au Dy
3 2 3
direct
0.0000 0.7740 0.7740
0.0000 0.2260 0.0000
0.0000 0.0000 0.2260
0.0000 0.3333 0.6667
0.0000 0.6667 0.3333
0.5000 0.0000 0.6029
0.5000 0.3971 0.3971
0.5000 0.6029 0.0000



No. 19
PBE Dy3Ag2Au3, optimized geometry; crystal system = hexagonal; magnetic moment = 0.000 μB/atom; E_tot = -4.2351 eV per atom; density of states at the Fermi level = 0.57 states/eV/atom
1.0
3.8557 0.0000 0.0000
0.0000 6.3949 -3.6921
0.0000 0.0000 7.3843
Au Dy Ag
3 3 2
direct
0.0000 0.0000 0.2450
0.0000 0.2450 0.0000
0.0000 0.7550 0.7550
0.5000 0.3618 0.3618
0.5000 0.6382 0.0000
0.5000 0.0000 0.6382
0.0000 0.6667 0.3333
0.0000 0.3333 0.6667



No. 20
PBE DyAgAu, optimized geometry; crystal system = tetragonal; magnetic moment = 0.000 μB/atom; E_tot = -4.1919 eV per atom; E above lowest polymorph = 0 meV per atom; density of states at the Fermi level = 0.36 states/eV/atom
1.0
3.7428 0.0000 0.0000
0.0000 3.7428 0.0000
-1.8714 -1.8714 4.5733
Au Dy Ag
1 1 1
direct
0.2857 0.2857 0.5713
0.9456 0.9456 0.8913
0.6187 0.6187 0.2374



No. 21
PBE Dy3Ag4Au2, optimized geometry; crystal system = monoclinic; magnetic moment = 0.000 μB/atom; E_tot = -3.9384 eV per atom; density of states at the Fermi level = 0.59 states/eV/atom
1.0
-2.6917 4.0156 2.1568
-7.5588 -4.2619 1.7792
0.7865 -2.2890 8.5209
Au Ag Dy
4 8 6
direct
0.1848 0.7413 0.4825
0.8152 0.2587 0.5175
0.3152 0.5175 0.2587
0.6848 0.4825 0.7413
0.4833 0.9355 0.1781
0.8727 0.4015 0.1524
0.1273 0.5985 0.8476
0.6273 0.8476 0.5985
0.9833 0.1781 0.9355
0.3727 0.1524 0.4015
0.0167 0.8219 0.0645
0.5167 0.0645 0.8219
0.5739 0.7030 0.9595
0.2500 0.3811 0.6189
0.4261 0.2970 0.0405
0.9261 0.0405 0.2970
0.7500 0.6189 0.3811
0.0739 0.9595 0.7030